Entry 1:
{
  "formula": "RbDyS2",
  "functional": "meta-GGA SCAN",
  "state": "PBEsol geometry",
  "lattice_angstrom": [[2.006, 1.158, 7.564], [-2.006, 1.158, 7.564], [0.000, -2.316, 7.564]],
  "species": ["Rb", "Dy", "S", "S"],
  "frac_coords": [[0.000, 0.000, 0.000], [0.500, 0.500, 0.500], [0.231, 0.231, 0.231], [0.769, 0.769, 0.769]],
  "spacegroup": "R-3m",
  "crystal_system": "trigonal",
  "raw_formation_energy_kj_per_mol_fu": -821
}

=====

Entry 2:
{
  "formula": "Dy7Rh3",
  "functional": "meta-GGA SCAN",
  "state": "PBEsol geometry",
  "lattice_angstrom": [[9.632, 0.000, 0.000], [-4.816, 8.342, 0.000], [0.000, 0.000, 6.035]],
  "species": ["Dy", "Dy", "Dy", "Dy", "Dy", "Dy", "Dy", "Dy", "Dy", "Dy", "Dy", "Dy", "Dy", "Dy", "Rh", "Rh", "Rh", "Rh", "Rh", "Rh"],
  "frac_coords": [[0.081, 0.541, 0.000], [0.124, 0.247, 0.700], [0.124, 0.876, 0.700], [0.247, 0.124, 0.200], [0.333, 0.667, 0.488], [0.459, 0.541, 0.000], [0.459, 0.919, 0.000], [0.541, 0.081, 0.500], [0.541, 0.459, 0.500], [0.667, 0.333, 0.988], [0.753, 0.876, 0.700], [0.876, 0.124, 0.200], [0.876, 0.753, 0.200], [0.919, 0.459, 0.500], [0.190, 0.380, 0.263], [0.190, 0.810, 0.263], [0.380, 0.190, 0.763], [0.620, 0.810, 0.263], [0.810, 0.190, 0.763], [0.810, 0.620, 0.763]],
  "spacegroup": "P6_3mc",
  "crystal_system": "hexagonal",
  "formation_enthalpy_0k_ev_per_atom": -0.726
}

=====

Entry 3:
{
  "formula": "DySi2Rh2",
  "functional": "meta-GGA SCAN",
  "state": "PBEsol geometry",
  "lattice_angstrom": [[-2.003, 2.003, 4.950], [2.003, -2.003, 4.950], [2.003, 2.003, -4.950]],
  "species": ["Dy", "Si", "Si", "Rh", "Rh"],
  "frac_coords": [[0.000, 0.000, 0.000], [0.379, 0.379, 0.000], [0.621, 0.621, 0.000], [0.250, 0.750, 0.500], [0.750, 0.250, 0.500]],
  "spacegroup": "I4/mmm",
  "crystal_system": "tetragonal",
  "raw_formation_energy_kj_per_mol_fu": -601
}

=====

Entry 4:
{
  "formula": "Dy2Si3Rh",
  "functional": "meta-GGA SCAN",
  "state": "PBEsol geometry",
  "lattice_angstrom": [[8.102, 0.000, 0.000], [-4.051, 7.016, 0.000], [0.000, 0.000, 7.736]],
  "species": ["Dy", "Dy", "Dy", "Dy", "Dy", "Dy", "Dy", "Dy", "Si", "Si", "Si", "Si", "Si", "Si", "Si", "Si", "Si", "Si", "Si", "Si", "Rh", "Rh", "Rh", "Rh"],
  "frac_coords": [[0.000, 0.000, 0.250], [0.000, 0.000, 0.750], [0.018, 0.509, 0.250], [0.491, 0.509, 0.250], [0.491, 0.982, 0.250], [0.509, 0.018, 0.750], [0.509, 0.491, 0.750], [0.982, 0.491, 0.750], [0.167, 0.334, 0.502], [0.167, 0.334, 0.998], [0.167, 0.833, 0.502], [0.167, 0.833, 0.998], [0.334, 0.167, 0.002], [0.334, 0.167, 0.498], [0.666, 0.833, 0.502], [0.666, 0.833, 0.998], [0.833, 0.167, 0.002], [0.833, 0.167, 0.498], [0.833, 0.666, 0.002], [0.833, 0.666, 0.498], [0.333, 0.667, 0.536], [0.333, 0.667, 0.964], [0.667, 0.333, 0.036], [0.667, 0.333, 0.464]],
  "spacegroup": "P6_3/mmc",
  "crystal_system": "hexagonal",
  "raw_formation_energy_kj_per_mol_fu": -573
}

=====

Entry 5:
{
  "formula": "DySi2Rh3",
  "functional": "meta-GGA SCAN",
  "state": "PBEsol geometry",
  "lattice_angstrom": [[5.432, 0.000, 0.000], [-2.716, 4.704, 0.000], [0.000, 0.000, 3.653]],
  "species": ["Dy", "Si", "Si", "Rh", "Rh", "Rh"],
  "frac_coords": [[0.000, 0.000, 0.000], [0.333, 0.667, 0.000], [0.667, 0.333, 0.000], [0.000, 0.500, 0.500], [0.500, 0.000, 0.500], [0.500, 0.500, 0.500]],
  "spacegroup": "P6/mmm",
  "crystal_system": "hexagonal",
  "raw_formation_energy_kj_per_mol_fu": -670
}

=====

Entry 6:
{
  "formula": "Dy2Si5Rh3",
  "functional": "meta-GGA SCAN",
  "state": "PBEsol geometry",
  "lattice_angstrom": [[5.491, -5.853, 0.000], [5.491, 5.853, 0.000], [-2.648, 0.000, 4.950]],
  "species": ["Dy", "Dy", "Dy", "Dy", "Si", "Si", "Si", "Si", "Si", "Si", "Si", "Si", "Si", "Si", "Rh", "Rh", "Rh", "Rh", "Rh", "Rh"],
  "frac_coords": [[0.098, 0.368, 0.240], [0.368, 0.098, 0.740], [0.632, 0.902, 0.260], [0.902, 0.632, 0.760], [0.013, 0.987, 0.750], [0.233, 0.439, 0.837], [0.276, 0.724, 0.750], [0.291, 0.709, 0.250], [0.439, 0.233, 0.337], [0.561, 0.767, 0.663], [0.709, 0.291, 0.750], [0.724, 0.276, 0.250], [0.767, 0.561, 0.163], [0.987, 0.013, 0.250], [0.041, 0.761, 0.373], [0.239, 0.959, 0.127], [0.499, 0.501, 0.250], [0.501, 0.499, 0.750], [0.761, 0.041, 0.873], [0.959, 0.239, 0.627]],
  "spacegroup": "C2/c",
  "crystal_system": "monoclinic",
  "raw_formation_energy_kj_per_mol_fu": -1033
}

=====

Entry 7:
{
  "formula": "Dy2Sn5Rh3",
  "functional": "meta-GGA SCAN",
  "state": "PBEsol geometry",
  "lattice_angstrom": [[2.189, -13.071, 0.000], [2.189, 13.071, 0.000], [0.000, 0.000, 7.119]],
  "species": ["Dy", "Dy", "Dy", "Dy", "Sn", "Sn", "Sn", "Sn", "Sn", "Sn", "Sn", "Sn", "Sn", "Sn", "Rh", "Rh", "Rh", "Rh", "Rh", "Rh"],
  "frac_coords": [[0.024, 0.976, 0.500], [0.328, 0.672, 0.522], [0.672, 0.328, 0.022], [0.976, 0.024, 0.000], [0.097, 0.903, 0.873], [0.206, 0.794, 0.312], [0.209, 0.791, 0.742], [0.380, 0.620, 0.997], [0.452, 0.548, 0.663], [0.548, 0.452, 0.163], [0.620, 0.380, 0.497], [0.791, 0.209, 0.242], [0.794, 0.206, 0.812], [0.903, 0.097, 0.373], [0.106, 0.894, 0.247], [0.277, 0.723, 0.028], [0.450, 0.550, 0.279], [0.550, 0.450, 0.779], [0.723, 0.277, 0.528], [0.894, 0.106, 0.747]],
  "spacegroup": "Cmc2_1",
  "crystal_system": "orthorhombic",
  "formation_enthalpy_0k_ev_per_atom": -0.795
}

=====

Entry 8:
{
  "formula": "TbDyRh2",
  "functional": "meta-GGA SCAN",
  "state": "PBEsol geometry",
  "lattice_angstrom": [[0.000, 3.377, 3.377], [3.377, 0.000, 3.377], [3.377, 3.377, 0.000]],
  "species": ["Tb", "Dy", "Rh", "Rh"],
  "frac_coords": [[0.000, 0.000, 0.000], [0.500, 0.500, 0.500], [0.250, 0.250, 0.250], [0.750, 0.750, 0.750]],
  "spacegroup": "Fm-3m",
  "crystal_system": "cubic",
  "formation_enthalpy_0k_ev_per_atom": -0.979
}

=====

Entry 9:
{
  "formula": "DyTmRh2",
  "functional": "meta-GGA SCAN",
  "state": "PBEsol geometry",
  "lattice_angstrom": [[0.000, 3.347, 3.347], [3.347, 0.000, 3.347], [3.347, 3.347, 0.000]],
  "species": ["Dy", "Tm", "Rh", "Rh"],
  "frac_coords": [[0.000, 0.000, 0.000], [0.500, 0.500, 0.500], [0.250, 0.250, 0.250], [0.750, 0.750, 0.750]],
  "spacegroup": "Fm-3m",
  "crystal_system": "cubic",
  "formation_enthalpy_0k_ev_per_atom": -1.053
}

=====

Entry 10:
{
  "formula": "DyZn20Rh2",
  "functional": "meta-GGA SCAN",
  "state": "PBEsol geometry",
  "lattice_angstrom": [[0.000, 6.969, 6.969], [6.969, 0.000, 6.969], [6.969, 6.969, 0.000]],
  "species": ["Dy", "Dy", "Zn", "Zn", "Zn", "Zn", "Zn", "Zn", "Zn", "Zn", "Zn", "Zn", "Zn", "Zn", "Zn", "Zn", "Zn", "Zn", "Zn", "Zn", "Zn", "Zn", "Zn", "Zn", "Zn", "Zn", "Zn", "Zn", "Zn", "Zn", "Zn", "Zn", "Zn", "Zn", "Zn", "Zn", "Zn", "Zn", "Zn", "Zn", "Zn", "Zn", "Rh", "Rh", "Rh", "Rh"],
  "frac_coords": [[0.125, 0.125, 0.125], [0.875, 0.875, 0.875], [0.000, 0.000, 0.000], [0.000, 0.000, 0.500], [0.000, 0.500, 0.000], [0.057, 0.323, 0.323], [0.057, 0.323, 0.796], [0.057, 0.796, 0.323], [0.204, 0.677, 0.677], [0.204, 0.677, 0.943], [0.204, 0.943, 0.677], [0.237, 0.237, 0.513], [0.237, 0.513, 0.237], [0.237, 0.513, 0.513], [0.323, 0.057, 0.323], [0.323, 0.057, 0.796], [0.323, 0.323, 0.057], [0.323, 0.323, 0.796], [0.323, 0.796, 0.057], [0.323, 0.796, 0.323], [0.487, 0.487, 0.763], [0.487, 0.763, 0.487], [0.487, 0.763, 0.763], [0.500, 0.000, 0.000], [0.513, 0.237, 0.237], [0.513, 0.237, 0.513], [0.513, 0.513, 0.237], [0.677, 0.204, 0.677], [0.677, 0.204, 0.943], [0.677, 0.677, 0.204], [0.677, 0.677, 0.943], [0.677, 0.943, 0.204], [0.677, 0.943, 0.677], [0.763, 0.487, 0.487], [0.763, 0.487, 0.763], [0.763, 0.763, 0.487], [0.796, 0.057, 0.323], [0.796, 0.323, 0.057], [0.796, 0.323, 0.323], [0.943, 0.204, 0.677], [0.943, 0.677, 0.204], [0.943, 0.677, 0.677], [0.000, 0.500, 0.500], [0.500, 0.000, 0.500], [0.500, 0.500, 0.000], [0.500, 0.500, 0.500]],
  "spacegroup": "Fd-3m",
  "crystal_system": "cubic",
  "formation_enthalpy_0k_ev_per_atom": -0.280
}

=====

Entry 11:
{
  "formula": "DyZnRh",
  "functional": "meta-GGA SCAN",
  "state": "PBEsol geometry",
  "lattice_angstrom": [[6.831, 0.000, 0.000], [0.000, 3.937, 0.000], [0.000, 0.000, 8.006]],
  "species": ["Dy", "Dy", "Dy", "Dy", "Zn", "Zn", "Zn", "Zn", "Rh", "Rh", "Rh", "Rh"],
  "frac_coords": [[0.041, 0.250, 0.184], [0.459, 0.750, 0.684], [0.541, 0.250, 0.316], [0.959, 0.750, 0.816], [0.134, 0.250, 0.563], [0.366, 0.750, 0.063], [0.634, 0.250, 0.937], [0.866, 0.750, 0.437], [0.247, 0.750, 0.376], [0.253, 0.250, 0.876], [0.747, 0.750, 0.124], [0.753, 0.250, 0.624]],
  "spacegroup": "Pnma",
  "crystal_system": "orthorhombic",
  "formation_enthalpy_0k_ev_per_atom": -0.823
}

=====

Entry 12:
{
  "formula": "DyZnRh2",
  "functional": "meta-GGA SCAN",
  "state": "PBEsol geometry",
  "lattice_angstrom": [[0.000, 3.165, 3.165], [3.165, 0.000, 3.165], [3.165, 3.165, 0.000]],
  "species": ["Dy", "Zn", "Rh", "Rh"],
  "frac_coords": [[0.000, 0.000, 0.000], [0.500, 0.500, 0.500], [0.250, 0.250, 0.250], [0.750, 0.750, 0.750]],
  "spacegroup": "Fm-3m",
  "crystal_system": "cubic",
  "formation_enthalpy_0k_ev_per_atom": -0.714
}